(1)
Entry from the Alexandria database: crystalline Mn2Co2Ge at its relaxed geometry (PBE).

```
Mn2Co2Ge
1.0
-1.4489 -2.7312 -5.8182
-2.2435 -5.3741 3.0815
-2.6354 1.1634 0.1102
Ge Mn Co
2 4 4
direct
0.0000 0.0000 0.0000
0.5000 0.5000 0.0000
0.1621 0.6621 0.5000
0.6621 0.8379 0.5000
0.8379 0.3379 0.5000
0.3379 0.1621 0.5000
0.3667 0.8667 0.0000
0.8667 0.6333 0.0000
0.6333 0.1333 0.0000
0.1333 0.3667 0.0000
```

Results
- Density of states at the Fermi level: 6.00 states/eV/f.u.
- Raw total energy: -7.277 eV/atom



(2)
Entry from the Alexandria database: crystalline Mn4Co11Ge5 at its relaxed geometry (PBE).

```
Mn4Co11Ge5
1.0
-15.5070 -5.4580 2.9412
-13.6127 -8.9591 3.6518
-14.0088 -6.2368 6.6154
Mn Co Ge
4 11 5
direct
0.6003 0.6003 0.6003
0.2001 0.2001 0.2001
0.7999 0.7999 0.7999
0.3997 0.3997 0.3997
0.7498 0.7498 0.7498
0.5501 0.5501 0.5501
0.1499 0.1499 0.1499
0.3494 0.3494 0.3494
0.9506 0.9506 0.9506
0.0494 0.0494 0.0494
0.8501 0.8501 0.8501
0.4499 0.4499 0.4499
0.6506 0.6506 0.6506
0.2502 0.2502 0.2502
0.0000 0.0000 0.0000
0.0998 0.0998 0.0998
0.9002 0.9002 0.9002
0.5000 0.5000 0.5000
0.6999 0.6999 0.6999
0.3001 0.3001 0.3001
```

Results
- Density of states at the Fermi level: 10.02 states/eV/f.u.
- Raw total energy: -7.105 eV/atom



(3)
Entry from the Alexandria database: crystalline MnCo2Ge2 at its relaxed geometry (PBE).

```
MnCo2Ge2
1.0
3.7870 0.0000 0.0000
0.0000 3.7870 0.0000
1.8935 1.8935 5.0273
Ge Mn Co
2 1 2
direct
0.3803 0.3803 0.2394
0.6197 0.6197 0.7606
0.0000 0.0000 0.0000
0.7500 0.2500 0.5000
0.2500 0.7500 0.5000
```

Results
- Offset from the most stable computed form: 99 meV per atom
- Density of states at the Fermi level: 3.53 states/eV/f.u.
- Raw total energy: -6.497 eV/atom